(1)
First-principles (PBE) data for an optimized crystal structure of SmDy2Tm3Bi6, as listed in Alexandria.

Results
* total moment: 0.00 μB per formula unit
* total energy: -0.3711 Ry per atom
* ΔH_f (0 K): -0.8302 eV/atom

abc: 9.988 9.988 8.937
angles: 102.83 102.83 25.85
Positions (direct):
1 Sm 0.000 0.000 0.000
2 Dy 0.333 0.333 0.667
3 Dy 0.667 0.667 0.333
4 Tm 0.000 0.000 0.500
5 Tm 0.334 0.334 0.168
6 Tm 0.666 0.666 0.832
7 Bi 0.166 0.166 0.585
8 Bi 0.169 0.169 0.082
9 Bi 0.500 0.500 0.256
10 Bi 0.500 0.500 0.744
11 Bi 0.831 0.831 0.918
12 Bi 0.834 0.834 0.415



(2)
First-principles (PBE) data for an optimized crystal structure of ZnInW, as listed in Alexandria.

Results
* total moment: 0.00 μB per formula unit
* excess energy over the best structure of this formula in the dataset: 0.046 eV per atom
* total energy: -0.3776 Ry per atom
* ΔH_f (0 K): 0.5171 eV/atom

abc: 7.054 7.054 7.054
angles: 156.87 156.87 32.95
Positions (direct):
1 Zn 0.000 0.000 0.000
2 In 0.316 0.316 0.000
3 W 0.644 0.644 0.000